Here is a relaxed SmSbPt crystal from the Open Quantum Materials Database. Energies are from PBE.

Computed properties:
The total magnetization comes out at 0.0 Bohr magnetons per cell. Its final energy is -6.00 eV per atom.

a = 7.515 Å, b = 7.515 Å, c = 4.275 Å
α = 90.00°, β = 90.00°, γ = 120.00°
Fractional positions:
Sm1 0.000 0.608 0.000
Sm2 0.392 0.392 0.000
Sm3 0.608 0.000 0.000
Sb1 0.000 0.273 0.500
Sb2 0.273 0.000 0.500
Sb3 0.727 0.727 0.500
Pt1 0.000 0.000 0.000
Pt2 0.333 0.667 0.500
Pt3 0.667 0.333 0.500

Here is a relaxed Cu7Ag3 crystal from the Open Quantum Materials Database. Energies are from PBE.

Computed properties:
As for the energy above the most stable polymorph in this dataset: 46 meV/atom. The value obtained for the energy relative to the elements is 0.0910 eV per atom. Its final energy is -3.36 eV per atom.

a = 4.673 Å, b = 4.673 Å, c = 8.502 Å
α = 90.04°, β = 90.04°, γ = 47.53°
Fractional positions:
Cu1 0.000 0.000 0.000
Cu2 0.105 0.105 0.298
Cu3 0.205 0.205 0.599
Cu4 0.301 0.301 0.899
Cu5 0.699 0.699 0.101
Cu6 0.795 0.795 0.401
Cu7 0.895 0.895 0.702
Ag1 0.399 0.399 0.194
Ag2 0.500 0.500 0.500
Ag3 0.601 0.601 0.806

Here is a relaxed LuMgCuTe2S crystal from the Open Quantum Materials Database. Energies are from PBE.

Computed properties:
The total magnetization comes out at 0.0 Bohr magnetons per cell. Its final energy is -4.24 eV per atom.

a = 7.115 Å, b = 7.115 Å, c = 10.177 Å
α = 90.00°, β = 90.00°, γ = 147.25°
Fractional positions:
Lu1 0.000 0.000 0.000
Lu2 0.000 0.000 0.500
Mg1 0.283 0.717 0.750
Mg2 0.717 0.283 0.250
Cu1 0.486 0.514 0.250
Cu2 0.514 0.486 0.750
Te1 0.347 0.653 0.071
Te2 0.347 0.653 0.429
Te3 0.653 0.347 0.571
Te4 0.653 0.347 0.929
S1 0.082 0.918 0.250
S2 0.918 0.082 0.750

Here is a relaxed Pm4Ga12Co crystal from the Open Quantum Materials Database. Energies are from PBE.

Computed properties:
The total magnetization comes out at 0.0 Bohr magnetons per cell. Its final energy is -4.24 eV per atom.

a = 7.532 Å, b = 7.532 Å, c = 7.532 Å
α = 109.47°, β = 109.47°, γ = 109.47°
Fractional positions:
Pm1 0.000 0.000 0.500
Pm2 0.000 0.500 0.000
Pm3 0.500 0.000 0.000
Pm4 0.500 0.500 0.500
Ga1 0.000 0.282 0.282
Ga2 0.000 0.718 0.718
Ga3 0.250 0.500 0.750
Ga4 0.250 0.750 0.500
Ga5 0.282 0.000 0.282
Ga6 0.282 0.282 0.000
Ga7 0.500 0.250 0.750
Ga8 0.500 0.750 0.250
Ga9 0.718 0.000 0.718
Ga10 0.718 0.718 0.000
Ga11 0.750 0.250 0.500
Ga12 0.750 0.500 0.250
Co1 0.000 0.000 0.000

Here is a relaxed GdBO3 crystal from the Open Quantum Materials Database. Energies are from PBE.

Computed properties:
The total magnetization comes out at 0.0 Bohr magnetons per cell. Its final energy is -8.36 eV per atom.

a = 6.584 Å, b = 6.584 Å, c = 9.637 Å
α = 109.64°, β = 109.64°, γ = 60.06°
Fractional positions:
Gd1 0.000 0.500 0.000
Gd2 0.158 0.670 0.501
Gd3 0.330 0.842 0.999
Gd4 0.500 0.000 0.500
Gd5 0.670 0.158 0.001
Gd6 0.842 0.330 0.499
B1 0.177 0.823 0.250
B2 0.344 0.418 0.753
B3 0.418 0.344 0.253
B4 0.582 0.656 0.747
B5 0.656 0.582 0.247
B6 0.823 0.177 0.750
O1 0.019 0.885 0.109
O2 0.115 0.981 0.391
O3 0.187 0.370 0.612
O4 0.201 0.584 0.252
O5 0.283 0.466 0.896
O6 0.367 0.633 0.750
O7 0.370 0.187 0.112
O8 0.416 0.799 0.248
O9 0.466 0.283 0.396
O10 0.534 0.717 0.604
O11 0.584 0.201 0.752
O12 0.630 0.813 0.888
O13 0.633 0.367 0.250
O14 0.717 0.534 0.104
O15 0.799 0.416 0.748
O16 0.813 0.630 0.388
O17 0.885 0.019 0.609
O18 0.981 0.115 0.891

Here is a relaxed LiFeSiIr crystal from the Open Quantum Materials Database. Energies are from PBE.

Computed properties:
As for the energy above the most stable polymorph in this dataset: 232 meV/atom. The total magnetization comes out at 10.6 Bohr magnetons per cell. Its final energy is -6.32 eV per atom.

a = 5.777 Å, b = 5.777 Å, c = 5.777 Å
α = 90.00°, β = 90.00°, γ = 90.00°
Fractional positions:
Li1 0.000 0.000 0.000
Li2 0.000 0.500 0.500
Li3 0.500 0.000 0.500
Li4 0.500 0.500 0.000
Fe1 0.000 0.000 0.500
Fe2 0.000 0.500 0.000
Fe3 0.500 0.000 0.000
Fe4 0.500 0.500 0.500
Si1 0.250 0.250 0.250
Si2 0.250 0.750 0.750
Si3 0.750 0.250 0.750
Si4 0.750 0.750 0.250
Ir1 0.250 0.250 0.750
Ir2 0.250 0.750 0.250
Ir3 0.750 0.250 0.250
Ir4 0.750 0.750 0.750

Here is a relaxed Tb5Os2 crystal from the Open Quantum Materials Database. Energies are from PBE.

Computed properties:
The total magnetization comes out at 0.0 Bohr magnetons per cell. The value obtained for the energy relative to the elements is -0.2548 eV per atom. Its final energy is -6.77 eV per atom.

a = 8.476 Å, b = 8.476 Å, c = 7.348 Å
α = 96.84°, β = 96.84°, γ = 44.40°
Fractional positions:
Tb1 0.077 0.923 0.750
Tb2 0.141 0.294 0.317
Tb3 0.294 0.141 0.817
Tb4 0.294 0.523 0.084
Tb5 0.477 0.706 0.416
Tb6 0.523 0.294 0.584
Tb7 0.706 0.477 0.916
Tb8 0.706 0.859 0.183
Tb9 0.859 0.706 0.683
Tb10 0.923 0.077 0.250
Os1 0.104 0.677 0.423
Os2 0.323 0.896 0.077
Os3 0.677 0.104 0.923
Os4 0.896 0.323 0.577

Here is a relaxed Nd2NiAu crystal from the Open Quantum Materials Database. Energies are from PBE.

Computed properties:
The total magnetization comes out at 0.0 Bohr magnetons per cell. The value obtained for the energy relative to the elements is -0.5437 eV per atom. Its final energy is -5.13 eV per atom.

a = 4.571 Å, b = 3.936 Å, c = 10.820 Å
α = 90.00°, β = 90.00°, γ = 90.00°
Fractional positions:
Nd1 0.000 0.000 0.000
Nd2 0.000 0.500 0.500
Nd3 0.500 0.000 0.279
Nd4 0.500 0.500 0.779
Ni1 0.500 0.000 0.557
Ni2 0.500 0.500 0.057
Au1 0.000 0.000 0.715
Au2 0.000 0.500 0.215

Here is a relaxed LiThCuS3 crystal from the Open Quantum Materials Database. Energies are from PBE.

Computed properties:
The total magnetization comes out at 0.0 Bohr magnetons per cell. Its final energy is -5.58 eV per atom.

a = 6.351 Å, b = 6.351 Å, c = 10.571 Å
α = 90.00°, β = 90.00°, γ = 143.68°
Fractional positions:
Li1 0.245 0.755 0.750
Li2 0.755 0.245 0.250
Th1 0.000 0.000 0.000
Th2 0.000 0.000 0.500
Cu1 0.478 0.522 0.250
Cu2 0.522 0.478 0.750
S1 0.089 0.911 0.250
S2 0.357 0.643 0.082
S3 0.357 0.643 0.418
S4 0.643 0.357 0.582
S5 0.643 0.357 0.918
S6 0.911 0.089 0.750

Here is a relaxed LuCoAgGe crystal from the Open Quantum Materials Database. Energies are from PBE.

Computed properties:
As for the energy above the most stable polymorph in this dataset: 0 meV/atom. The total magnetization comes out at 2.3 Bohr magnetons per cell. Its final energy is -4.89 eV per atom.

a = 6.450 Å, b = 6.450 Å, c = 6.450 Å
α = 90.00°, β = 90.00°, γ = 90.00°
Fractional positions:
Lu1 0.000 0.000 0.000
Lu2 0.000 0.500 0.500
Lu3 0.500 0.000 0.500
Lu4 0.500 0.500 0.000
Co1 0.250 0.250 0.750
Co2 0.250 0.750 0.250
Co3 0.750 0.250 0.250
Co4 0.750 0.750 0.750
Ag1 0.250 0.250 0.250
Ag2 0.250 0.750 0.750
Ag3 0.750 0.250 0.750
Ag4 0.750 0.750 0.250
Ge1 0.000 0.000 0.500
Ge2 0.000 0.500 0.000
Ge3 0.500 0.000 0.000
Ge4 0.500 0.500 0.500

Here is a relaxed ErNbAg crystal from the Open Quantum Materials Database. Energies are from PBE.

Computed properties:
As for the energy above the most stable polymorph in this dataset: 139 meV/atom. The total magnetization comes out at 12.2 Bohr magnetons per cell. The value obtained for the energy relative to the elements is 1.1154 eV per atom. Its final energy is -4.71 eV per atom.

a = 6.737 Å, b = 6.737 Å, c = 6.737 Å
α = 90.00°, β = 90.00°, γ = 90.00°
Fractional positions:
Er1 0.000 0.000 0.000
Er2 0.000 0.500 0.500
Er3 0.500 0.000 0.500
Er4 0.500 0.500 0.000
Nb1 0.250 0.250 0.250
Nb2 0.250 0.750 0.750
Nb3 0.750 0.250 0.750
Nb4 0.750 0.750 0.250
Ag1 0.250 0.250 0.750
Ag2 0.250 0.750 0.250
Ag3 0.750 0.250 0.250
Ag4 0.750 0.750 0.750